# KLa2Re (PBE, relaxed)
data_KLa2Re
_cell_length_a 11.8353
_cell_length_b 11.8353
_cell_length_c 11.8353
_cell_angle_alpha 17.13
_cell_angle_beta 17.13
_cell_angle_gamma 17.13
_space_group_name_H-M_alt 'P 1'
_space_group_IT_number 1
_space_group_name_Hall 'P 1'
loop_
_atom_site_label
_atom_site_fract_x
_atom_site_fract_y
_atom_site_fract_z
K1 0.0000 0.0000 0.0000
La1 0.2225 0.2225 0.2225
La2 0.4672 0.4672 0.4672
Re1 0.7451 0.7451 0.7451
# **ΔE to the lowest computed polymorph**: 2.417 eV/f.u.
# **Uncorrected energy**: -4.996 eV/atom
# **Energy relative to the elements**: 0.8538 eV per atom